The following is a DFT calculation (PBE) of an optimized crystal structure of SiNi2Ir.

Cell: 3.745 2.690 5.075 Å, 72.58 90.00 90.00°
Fractional positions:
Ir (0.500, 0.750, 0.750)
Ni (0.000, 0.099, 0.020)
Ni (0.000, 0.401, 0.480)
Si (0.500, 0.250, 0.250)

Output
The raw total energy comes out at -6.70 eV per atom. Its uncorrected formation energy is -242 meV/atom.


The following is a DFT calculation (PBE) of an optimized crystal structure of CaFe2Os.

Cell: 4.330 4.330 4.330 Å, 60.00 60.00 60.00°
Fractional positions:
Fe (0.750, 0.750, 0.750)
Fe (0.250, 0.250, 0.250)
Ca (0.000, 0.000, 0.000)
Os (0.500, 0.500, 0.500)

Output
The excess energy over the best structure of this formula in the dataset is 167 kJ/mol of formula units. The raw total energy comes out at -6.79 eV per atom. The calculation puts the formation energy at 0.75 eV/atom.


The following is a DFT calculation (PBE) of an optimized crystal structure of Nd3DyGa4.

Cell: 3.756 6.849 9.335 Å, 111.51 101.61 90.00°
Fractional positions:
Ga (0.372, 0.565, 0.745)
Ga (0.628, 0.821, 0.255)
Ga (0.372, 0.179, 0.745)
Ga (0.628, 0.435, 0.255)
Nd (0.798, 0.798, 0.596)
Nd (0.000, 0.500, 0.000)
Nd (0.202, 0.202, 0.404)
Dy (0.500, 0.000, 0.000)

Output
The excess energy over the best structure of this formula in the dataset is 103 kJ/mol of formula units. The raw total energy comes out at -4.31 eV per atom. The calculation puts the formation energy at -0.43 eV/atom.


The following is a DFT calculation (PBE) of an optimized crystal structure of Hg2PdPb.

Cell: 8.341 8.341 6.555 Å, 50.49 50.49 90.00°
Fractional positions:
Pb (0.750, 0.250, 0.500)
Pb (0.000, 0.000, 0.000)
Pd (0.250, 0.750, 0.500)
Pd (0.500, 0.500, 0.000)
Hg (0.375, 0.421, 0.750)
Hg (0.579, 0.125, 0.250)
Hg (0.171, 0.625, 0.250)
Hg (0.875, 0.829, 0.750)

Output
The raw total energy comes out at -2.34 eV per atom. The calculation puts the formation energy at 0.04 eV/atom.


The following is a DFT calculation (PBE) of an optimized crystal structure of HfRhBr2.

Cell: 4.711 4.711 4.711 Å, 60.00 60.00 60.00°
Fractional positions:
Br (0.250, 0.250, 0.250)
Br (0.750, 0.750, 0.750)
Hf (0.500, 0.500, 0.500)
Rh (0.000, 0.000, 0.000)

Output
The excess energy over the best structure of this formula in the dataset is 85 kJ/mol of formula units. The raw total energy comes out at -5.07 eV per atom. Its uncorrected formation energy is 93 meV/atom.


The following is a DFT calculation (PBE) of an optimized crystal structure of Ni2HgW.

Cell: 4.210 2.721 5.238 Å, 74.94 90.00 90.00°
Fractional positions:
Ni (0.000, 0.187, 0.998)
Ni (0.500, 0.054, 0.269)
W (0.000, 0.466, 0.444)
Hg (0.500, 0.792, 0.789)

Output
The raw total energy comes out at -5.86 eV per atom. The calculation puts the formation energy at 0.35 eV/atom.


The following is a DFT calculation (PBE) of an optimized crystal structure of YAlZn2Hg.

Cell: 4.910 5.095 4.910 Å, 90.00 90.00 90.00°
Fractional positions:
Hg (0.000, 0.000, 0.000)
Al (0.000, 0.500, 0.000)
Zn (0.500, 0.000, 0.000)
Zn (0.000, 0.000, 0.500)
Y (0.500, 0.500, 0.500)

Output
The raw total energy comes out at -2.28 eV per atom. The calculation puts the formation energy at 0.33 eV/atom.


The following is a DFT calculation (PBE) of an optimized crystal structure of Ce2Tm3Pb4.

Cell: 8.197 8.420 8.362 Å, 90.00 90.00 111.70°
Fractional positions:
Pb (0.141, 0.506, 0.858)
Pb (0.831, 0.087, 0.541)
Pb (0.859, 0.494, 0.142)
Pb (0.641, 0.506, 0.642)
Pb (0.359, 0.494, 0.358)
Pb (0.169, 0.913, 0.459)
Pb (0.669, 0.913, 0.041)
Pb (0.331, 0.087, 0.959)
Tm (0.262, 0.755, 0.157)
Tm (0.238, 0.245, 0.657)
Tm (0.000, 0.500, 0.500)
Tm (0.500, 0.500, 0.000)
Tm (0.738, 0.245, 0.843)
Tm (0.762, 0.755, 0.343)
Ce (0.945, 0.808, 0.821)
Ce (0.055, 0.192, 0.179)
Ce (0.445, 0.808, 0.679)
Ce (0.555, 0.192, 0.321)

Output
The excess energy over the best structure of this formula in the dataset is 0 kJ/mol of formula units. The raw total energy comes out at -4.94 eV per atom. The calculation puts the formation energy at -0.49 eV/atom.


The following is a DFT calculation (PBE) of an optimized crystal structure of Pa2TiS5.

Cell: 5.313 6.706 12.247 Å, 90.00 90.00 113.34°
Fractional positions:
Pa (0.847, 0.693, 0.064)
Pa (0.153, 0.307, 0.564)
Pa (0.847, 0.693, 0.436)
Pa (0.153, 0.307, 0.936)
Ti (0.789, 0.578, 0.750)
Ti (0.211, 0.422, 0.250)
S (0.052, 0.103, 0.126)
S (0.668, 0.337, 0.922)
S (0.668, 0.337, 0.578)
S (0.273, 0.546, 0.750)
S (0.332, 0.663, 0.078)
S (0.052, 0.103, 0.374)
S (0.948, 0.897, 0.874)
S (0.948, 0.897, 0.626)
S (0.727, 0.454, 0.250)
S (0.332, 0.663, 0.422)

Output
The raw total energy comes out at -7.39 eV per atom. Its uncorrected formation energy is -1453 meV/atom.


The following is a DFT calculation (PBE) of an optimized crystal structure of ScBe2Tc.

Cell: 4.883 4.883 4.883 Å, 137.27 137.27 62.02°
Fractional positions:
Be (0.000, 0.000, 0.000)
Be (0.250, 0.750, 0.500)
Sc (0.500, 0.500, 0.000)
Tc (0.750, 0.250, 0.500)

Output
The excess energy over the best structure of this formula in the dataset is 96 kJ/mol of formula units. The raw total energy comes out at -6.01 eV per atom. The calculation puts the formation energy at 0.02 eV/atom.


The following is a DFT calculation (PBE) of an optimized crystal structure of Sr2PuAg2O6.

Cell: 6.452 6.452 6.520 Å, 60.34 60.34 60.00°
Fractional positions:
O (0.774, 0.774, 0.257)
O (0.226, 0.226, 0.743)
O (0.226, 0.805, 0.743)
O (0.774, 0.195, 0.257)
O (0.195, 0.774, 0.257)
O (0.805, 0.226, 0.743)
Ag (0.412, 0.412, 0.765)
Ag (0.588, 0.588, 0.235)
Sr (0.793, 0.793, 0.622)
Sr (0.207, 0.207, 0.378)
Pu (0.000, 0.000, 0.000)

Output
The raw total energy comes out at -6.66 eV per atom. Its uncorrected formation energy is -1827 meV/atom.


The following is a DFT calculation (PBE) of an optimized crystal structure of MoAuCl2.

Cell: 5.017 5.017 5.017 Å, 127.53 127.53 77.39°
Fractional positions:
Cl (0.500, 0.500, 0.000)
Cl (0.000, 0.000, 0.000)
Au (0.750, 0.250, 0.500)
Mo (0.250, 0.750, 0.500)

Output
The excess energy over the best structure of this formula in the dataset is 326 kJ/mol of formula units. The raw total energy comes out at -3.80 eV per atom. Its uncorrected formation energy is 649 meV/atom.


The following is a DFT calculation (PBE) of an optimized crystal structure of CaCeHoTm.

Cell: 5.720 5.720 5.720 Å, 60.00 60.00 60.00°
Fractional positions:
Ca (0.250, 0.250, 0.250)
Tm (0.500, 0.500, 0.500)
Ho (0.000, 0.000, 0.000)
Ce (0.750, 0.750, 0.750)

Output
The raw total energy comes out at -4.01 eV per atom. The calculation puts the formation energy at 0.24 eV/atom.


The following is a DFT calculation (PBE) of an optimized crystal structure of CaTaAs.

Cell: 4.472 4.472 3.955 Å, 90.00 90.00 120.00°
Fractional positions:
Ca (0.667, 0.333, 0.333)
As (0.000, 0.000, 0.833)
Ta (0.333, 0.667, 0.833)

Output
The excess energy over the best structure of this formula in the dataset is 188 kJ/mol of formula units. The raw total energy comes out at -6.15 eV per atom. The calculation puts the formation energy at 0.02 eV/atom.


The following is a DFT calculation (PBE) of an optimized crystal structure of CaCdRe2.

Cell: 2.700 4.971 5.859 Å, 90.00 90.00 90.00°
Fractional positions:
Ca (0.500, 0.500, 0.250)
Re (0.000, 0.000, 0.044)
Re (0.000, 0.000, 0.456)
Cd (0.500, 0.500, 0.750)

Output
The raw total energy comes out at -6.19 eV per atom. The calculation puts the formation energy at 0.76 eV/atom.


The following is a DFT calculation (PBE) of an optimized crystal structure of Ce2PaBi.

Cell: 3.997 3.997 6.927 Å, 90.00 90.00 90.00°
Fractional positions:
Ce (0.000, 0.000, 0.755)
Ce (0.000, 0.000, 0.245)
Pa (0.500, 0.500, 0.000)
Bi (0.500, 0.500, 0.500)

Output
The excess energy over the best structure of this formula in the dataset is 26 kJ/mol of formula units. The raw total energy comes out at -6.48 eV per atom. The calculation puts the formation energy at -0.17 eV/atom.


The following is a DFT calculation (PBE) of an optimized crystal structure of Rb2SiHgSb.

Cell: 6.665 5.638 6.665 Å, 90.00 90.00 90.00°
Fractional positions:
Rb (0.000, 0.000, 0.500)
Rb (0.500, 0.000, 0.000)
Si (0.500, 0.500, 0.500)
Hg (0.000, 0.000, 0.000)
Sb (0.000, 0.500, 0.000)

Output
The raw total energy comes out at -1.85 eV per atom. Its uncorrected formation energy is 505 meV/atom.


The following is a DFT calculation (PBE) of an optimized crystal structure of TbHo7Er5.

Cell: 6.628 8.593 8.593 Å, 79.64 67.31 67.31°
Fractional positions:
Ho (0.980, 0.690, 0.349)
Ho (0.423, 0.577, 0.577)
Ho (0.482, 0.190, 0.847)
Ho (0.231, 0.269, 0.269)
Ho (0.980, 0.349, 0.690)
Ho (0.482, 0.847, 0.190)
Ho (0.729, 0.271, 0.271)
Er (0.999, 0.997, 0.541)
Er (0.999, 0.541, 0.997)
Er (0.464, 0.997, 0.541)
Er (0.731, 0.769, 0.769)
Er (0.464, 0.541, 0.997)
Tb (0.036, 0.964, 0.964)

Output
The raw total energy comes out at -4.32 eV per atom. The calculation puts the formation energy at 0.26 eV/atom.


The following is a DFT calculation (PBE) of an optimized crystal structure of MoPtSe2.

Cell: 6.739 6.739 6.739 Å, 154.32 139.85 48.28°
Fractional positions:
Se (0.914, 0.914, 0.000)
Se (0.586, 0.586, 0.000)
Pt (0.250, 0.750, 0.500)
Mo (0.750, 0.250, 0.500)

Output
The excess energy over the best structure of this formula in the dataset is 76 kJ/mol of formula units. The raw total energy comes out at -5.90 eV per atom. Its uncorrected formation energy is 62 meV/atom.


The following is a DFT calculation (PBE) of an optimized crystal structure of Na4SrSi2.

Cell: 4.597 4.610 9.833 Å, 103.56 90.00 90.00°
Fractional positions:
Na (0.000, 0.332, 0.663)
Na (0.000, 0.668, 0.337)
Na (0.500, 0.167, 0.334)
Na (0.500, 0.833, 0.666)
Si (0.500, 0.441, 0.881)
Si (0.500, 0.559, 0.119)
Sr (0.000, 0.000, 0.000)

Output
The raw total energy comes out at -2.61 eV per atom. Its uncorrected formation energy is -69 meV/atom.